No. 1
The following is a DFT calculation (PBE) of crystalline Ba3LiPb6 at its relaxed geometry.

Values from the calculation:
The value obtained for the formation energy is -385.1 meV/atom. The value obtained for the density of states at the Fermi level is 0.526 states/eV/atom. The calculation puts the volume at 36.11 Å³/atom.

Cell lengths 9.0823, 9.0823, 9.0823 Å; angles 98.43, 98.43, 98.43 degrees
Closest atoms and distances in Å follow each position.
Element x y z (fractional)
Ba1 0.2054 0.7500 0.2946  8 Pb 3.48-3.83
Ba2 0.2946 0.2054 0.7500  8 Pb 3.48-3.83
Ba3 0.7054 0.7946 0.2500  8 Pb 3.48-3.83
Ba4 0.2500 0.7054 0.7946  8 Pb 3.48-3.83
Ba5 0.7946 0.2500 0.7054  8 Pb 3.48-3.83
Ba6 0.7500 0.2946 0.2054  8 Pb 3.48-3.83
Pb1 0.0545 0.0796 0.3591  2 Pb 3.03-3.32, 1 Li 3.18
Pb2 0.4204 0.4455 0.1409  2 Pb 3.03-3.32, 1 Li 3.18
Pb3 0.1409 0.4204 0.4455  2 Pb 3.03-3.32, 1 Li 3.18
Pb4 0.5545 0.8591 0.5796  2 Pb 3.03-3.32, 1 Li 3.18
Pb5 0.6409 0.9455 0.9204  2 Pb 3.03-3.32, 1 Li 3.18
Pb6 0.4455 0.1409 0.4204  2 Pb 3.03-3.32, 1 Li 3.18
Pb7 0.9455 0.9204 0.6409  2 Pb 3.03-3.32, 1 Li 3.18
Pb8 0.0796 0.3591 0.0545  2 Pb 3.03-3.32, 1 Li 3.18
Pb9 0.3591 0.0545 0.0796  2 Pb 3.03-3.32, 1 Li 3.18
Pb10 0.5796 0.5545 0.8591  2 Pb 3.03-3.32, 1 Li 3.18
Pb11 0.8591 0.5796 0.5545  2 Pb 3.03-3.32, 1 Li 3.18
Pb12 0.9204 0.6409 0.9455  2 Pb 3.03-3.32, 1 Li 3.18
Li1 0.0000 0.0000 0.0000  6 Pb 3.18
Li2 0.5000 0.5000 0.5000  6 Pb 3.18

***

No. 2
The following is a DFT calculation (PBE) of crystalline BaLi2Pb8 at its relaxed geometry.

Values from the calculation:
The value obtained for the formation energy is -12.0 meV/atom. The value obtained for the density of states at the Fermi level is 0.680 states/eV/atom. The calculation puts the volume at 36.03 Å³/atom.

Cell lengths 6.7468, 6.7468, 8.7077 Å; angles 90.00, 90.00, 90.00 degrees
Closest atoms and distances in Å follow each position.
Element x y z (fractional)
Pb1 0.7550 0.7550 0.8105  2 Li 2.90
Pb2 0.2450 0.2450 0.1895  2 Li 2.90
Pb3 0.7550 0.2450 0.8105  2 Li 2.90
Pb4 0.2450 0.7550 0.1895  2 Li 2.90
Pb5 0.7550 0.2450 0.1895  2 Li 2.90
Pb6 0.2450 0.7550 0.8105  2 Li 2.90
Pb7 0.7550 0.7550 0.1895  2 Li 2.90
Pb8 0.2450 0.2450 0.8105  2 Li 2.90
Li1 0.5000 0.0000 0.0000  8 Pb 2.90
Li2 0.0000 0.5000 0.0000  8 Pb 2.90
Ba1 0.5000 0.5000 0.5000  8 Pb 3.64

***

No. 3
The following is a DFT calculation (PBE) of crystalline BaLiPb3 at its relaxed geometry.

Values from the calculation:
The value obtained for the formation energy is 714.6 meV/atom. Its polymorph energy (0 for the lowest one) is 1079 meV per atom. The value obtained for the density of states at the Fermi level is 1.211 states/eV/atom. The calculation puts the volume at 51.42 Å³/atom.

Cell lengths 6.3587, 6.3587, 6.3587 Å; angles 90.00, 90.00, 90.00 degrees
Closest atoms and distances in Å follow each position.
Element x y z (fractional)
Ba1 0.0000 0.0000 0.0000  6 Pb 3.18
Pb1 0.0000 0.0000 0.5000  2 Ba 3.18
Pb2 0.5000 0.0000 0.0000  2 Ba 3.18
Pb3 0.0000 0.5000 0.0000  2 Ba 3.18
Li1 0.5000 0.5000 0.5000  12 Pb 4.50

***

No. 4
The following is a DFT calculation (PBE) of crystalline BaLiPb2 at its relaxed geometry.

Values from the calculation:
The value obtained for the formation energy is -109.1 meV/atom. The value obtained for the density of states at the Fermi level is 1.169 states/eV/atom. The calculation puts the volume at 31.75 Å³/atom.

Cell lengths 10.9465, 10.9465, 10.9465 Å; angles 19.44, 19.44, 19.44 degrees
Closest atoms and distances in Å follow each position.
Element x y z (fractional)
Li1 0.7500 0.7500 0.7500  6 Pb 3.13
Pb1 0.4879 0.4879 0.4879  3 Li 3.13
Pb2 0.0121 0.0121 0.0121  3 Li 3.13
Ba1 0.2500 0.2500 0.2500  6 Ba 3.70, 6 Pb 3.74

***

No. 5
The following is a DFT calculation (PBE) of crystalline BaLi2Pb10 at its relaxed geometry.

Values from the calculation:
The value obtained for the formation energy is -170.3 meV/atom. The value obtained for the density of states at the Fermi level is 0.316 states/eV/atom. The calculation puts the volume at 31.06 Å³/atom.

Cell lengths 6.4056, 9.1236, 8.0429 Å; angles 81.96, 66.53, 69.45 degrees
Closest atoms and distances in Å follow each position.
Element x y z (fractional)
Pb1 0.6483 0.3630 0.3404  2 Li 3.20, 5 Pb 3.32-3.47
Pb2 0.5000 0.0000 0.5000  6 Pb 3.20-3.37
Pb3 0.7338 0.7513 0.7811  2 Li 3.13, 7 Pb 3.23-3.47
Pb4 0.0000 0.0000 0.5000  6 Pb 3.20-3.37
Pb5 0.3517 0.6370 0.6596  2 Li 3.20, 5 Pb 3.32-3.47
Pb6 0.2662 0.2487 0.2189  2 Li 3.13, 7 Pb 3.23-3.47
Pb7 0.5149 0.7513 0.2189  2 Li 3.13, 7 Pb 3.23-3.47
Pb8 0.4851 0.2487 0.7811  2 Li 3.13, 7 Pb 3.23-3.47
Pb9 0.0113 0.6370 0.3404  2 Li 3.20, 5 Pb 3.32-3.47
Pb10 0.9887 0.3630 0.6596  2 Li 3.20, 5 Pb 3.32-3.47
Li1 0.5000 0.5000 0.0000  8 Pb 3.13-3.20, 2 Li 3.20
Li2 0.0000 0.5000 0.0000  8 Pb 3.13-3.20, 2 Li 3.20
Ba1 0.0000 0.0000 0.0000  16 Pb 3.99-4.17

***

No. 6
The following is a DFT calculation (PBE) of crystalline Ba2Li9Pb6 at its relaxed geometry.

Values from the calculation:
The value obtained for the formation energy is -233.6 meV/atom. The value obtained for the density of states at the Fermi level is 0.405 states/eV/atom. The calculation puts the volume at 28.63 Å³/atom.

Cell lengths 6.2851, 6.2851, 14.2264 Å; angles 90.00, 90.00, 120.00 degrees
Closest atoms and distances in Å follow each position.
Element x y z (fractional)
Pb1 0.6667 0.3333 0.6678  6 Li 3.00-3.03
Pb2 0.6667 0.3333 0.0000  6 Li 2.93
Pb3 0.3333 0.6667 0.0000  6 Li 2.93
Pb4 0.3333 0.6667 0.6678  6 Li 3.00-3.03
Pb5 0.6667 0.3333 0.3322  6 Li 3.00-3.03
Pb6 0.3333 0.6667 0.3322  6 Li 3.00-3.03
Li1 0.5000 0.5000 0.1614  4 Pb 2.93-3.03, 4 Li 3.14
Li2 0.5000 0.0000 0.5000  4 Pb 3.00, 4 Li 3.14
Li3 0.0000 0.5000 0.8386  4 Pb 2.93-3.03, 4 Li 3.14
Li4 0.0000 0.5000 0.1614  4 Pb 2.93-3.03, 4 Li 3.14
Li5 0.5000 0.5000 0.5000  4 Pb 3.00, 4 Li 3.14
Li6 0.5000 0.0000 0.1614  4 Pb 2.93-3.03, 4 Li 3.14
Li7 0.5000 0.0000 0.8386  4 Pb 2.93-3.03, 4 Li 3.14
Li8 0.5000 0.5000 0.8386  4 Pb 2.93-3.03, 4 Li 3.14
Li9 0.0000 0.5000 0.5000  4 Pb 3.00, 4 Li 3.14
Ba1 0.0000 0.0000 0.3250  6 Pb 3.63, 12 Li 3.91-4.01
Ba2 0.0000 0.0000 0.6750  6 Pb 3.63, 12 Li 3.91-4.01

***

No. 7
The following is a DFT calculation (PBE) of crystalline Ba2LiPb at its relaxed geometry.

Values from the calculation:
The value obtained for the formation energy is 106.2 meV/atom. The value obtained for the density of states at the Fermi level is 0.838 states/eV/atom. The calculation puts the volume at 44.62 Å³/atom.

Cell lengths 5.4988, 5.4988, 12.4297 Å; angles 77.22, 77.22, 90.00 degrees
Closest atoms and distances in Å follow each position.
Element x y z (fractional)
Li1 0.5000 0.5000 0.0000  4 Ba 3.56, 4 Pb 3.89
Li2 0.2500 0.7500 0.5000  4 Ba 3.56, 4 Pb 3.89
Pb1 0.7500 0.2500 0.5000  4 Ba 3.51, 4 Li 3.89
Pb2 0.0000 0.0000 0.0000  4 Ba 3.51, 4 Li 3.89
Ba1 0.1148 0.6250 0.2500  2 Pb 3.51, 2 Li 3.56, 2 Ba 3.81
Ba2 0.3750 0.3648 0.7500  2 Pb 3.51, 2 Li 3.56, 2 Ba 3.81
Ba3 0.6352 0.1250 0.2500  2 Pb 3.51, 2 Li 3.56, 2 Ba 3.81
Ba4 0.8750 0.8852 0.7500  2 Pb 3.51, 2 Li 3.56, 2 Ba 3.81

***

No. 8
The following is a DFT calculation (PBE) of crystalline BaLiPb2 at its relaxed geometry.

Values from the calculation:
The value obtained for the formation energy is -288.3 meV/atom. The value obtained for the density of states at the Fermi level is 0.376 states/eV/atom. The calculation puts the volume at 32.68 Å³/atom.

Cell lengths 5.9871, 5.9871, 5.9871 Å; angles 127.60, 127.60, 77.28 degrees
Closest atoms and distances in Å follow each position.
Element x y z (fractional)
Ba1 0.5000 0.5000 0.0000  8 Pb 3.53-3.74, 4 Li 3.53
Li1 0.7500 0.2500 0.5000  4 Ba 3.53, 8 Pb 3.53-3.74
Pb1 0.0000 0.0000 0.0000  4 Pb 3.53, 4 Li 3.53, 4 Ba 3.74
Pb2 0.2500 0.7500 0.5000  4 Pb 3.53, 4 Ba 3.53, 4 Li 3.74